Entry 1:
{
  "formula": "AgTePdPt",
  "functional": "PBE",
  "state": "relaxed",
  "lattice_angstrom": [[0.000, 3.308, 3.308], [3.308, 0.000, 3.308], [3.308, 3.308, 0.000]],
  "species": ["Ag", "Te", "Pd", "Pt"],
  "fractional_positions": [[0.000, 0.000, 0.000], [0.500, 0.500, 0.500], [0.750, 0.750, 0.750], [0.250, 0.250, 0.250]],
  "energy_ev_per_cell": -17.51,
  "spacegroup": "F-43m, No. 216",
  "magnetic_moment_mub_per_atom": 0.0000,
  "rho_g_cm3": 12.31
}

***

Entry 2:
{
  "formula": "UAlZnAu",
  "functional": "PBE",
  "state": "relaxed",
  "lattice_angstrom": [[0.000, 3.401, 3.401], [3.401, 0.000, 3.401], [3.401, 3.401, 0.000]],
  "species": ["U", "Al", "Zn", "Au"],
  "fractional_positions": [[0.000, 0.000, 0.000], [0.500, 0.500, 0.500], [0.250, 0.250, 0.250], [0.750, 0.750, 0.750]],
  "energy_ev_per_cell": -19.98,
  "spacegroup": "F-43m, No. 216",
  "magnetic_moment_mub_per_atom": 0.6157,
  "rho_g_cm3": 11.13,
  "formation_enthalpy_0k_ev_per_atom": -0.099
}

***

Entry 3:
{
  "formula": "Nd3SnSe2",
  "functional": "PBE",
  "state": "relaxed",
  "lattice_angstrom": [[3.762, -6.520, 0.000], [3.762, 6.520, 0.000], [-2.518, 0.000, 7.091]],
  "species": ["Nd", "Nd", "Nd", "Nd", "Nd", "Nd", "Sn", "Sn", "Se", "Se", "Se", "Se"],
  "fractional_positions": [[0.000, 0.500, 0.000], [0.155, 0.327, 0.497], [0.327, 0.155, 0.997], [0.500, 0.000, 0.500], [0.673, 0.845, 0.003], [0.845, 0.673, 0.503], [0.419, 0.581, 0.250], [0.581, 0.419, 0.750], [0.084, 0.916, 0.250], [0.253, 0.747, 0.750], [0.747, 0.253, 0.250], [0.916, 0.084, 0.750]],
  "energy_ev_per_cell": -68.56,
  "spacegroup": "C2/c, No. 15",
  "magnetic_moment_mub_per_atom": 0.0000,
  "rho_g_cm3": 6.77,
  "e_above_lowest_polymorph_ev_per_atom": 0.000
}

***

Entry 4:
{
  "formula": "LiMnCo2",
  "functional": "PBE",
  "state": "relaxed",
  "lattice_angstrom": [[2.839, 0.000, 0.000], [0.000, 4.038, 0.000], [0.000, 0.000, 4.060]],
  "species": ["Li", "Mn", "Co", "Co"],
  "fractional_positions": [[0.000, 0.000, 0.000], [0.500, 0.500, 0.000], [0.000, 0.500, 0.500], [0.500, 0.000, 0.500]],
  "energy_ev_per_cell": -24.54,
  "spacegroup": "Pmmm, No. 47",
  "magnetic_moment_mub_per_atom": 1.5955,
  "rho_g_cm3": 6.41,
  "formation_enthalpy_0k_ev_per_atom": 0.189,
  "e_above_lowest_polymorph_ev_per_atom": 0.042
}

***

Entry 5:
{
  "formula": "LaDyNi2As2",
  "functional": "PBE",
  "state": "relaxed",
  "lattice_angstrom": [[4.122, 0.000, 0.000], [-2.061, 3.570, 0.000], [0.000, 0.000, 7.938]],
  "species": ["La", "Dy", "Ni", "Ni", "As", "As"],
  "fractional_positions": [[0.000, 0.000, 0.000], [0.000, 0.000, 0.500], [0.333, 0.667, 0.737], [0.667, 0.333, 0.263], [0.333, 0.667, 0.264], [0.667, 0.333, 0.736]],
  "energy_ev_per_cell": -36.81,
  "spacegroup": "P-3m1, No. 164",
  "magnetic_moment_mub_per_atom": 0.0000,
  "rho_g_cm3": 8.08,
  "formation_enthalpy_0k_ev_per_atom": -1.070
}

***

Entry 6:
{
  "formula": "YEr2Pa2Ru5",
  "functional": "PBE",
  "state": "relaxed",
  "lattice_angstrom": [[10.557, 0.000, 0.000], [0.000, 10.557, 0.000], [0.000, 0.000, 3.710]],
  "species": ["Y", "Y", "Er", "Er", "Er", "Er", "Pa", "Pa", "Pa", "Pa", "Ru", "Ru", "Ru", "Ru", "Ru", "Ru", "Ru", "Ru", "Ru", "Ru"],
  "fractional_positions": [[0.000, 0.000, 0.000], [0.500, 0.500, 0.000], [0.173, 0.327, 0.000], [0.327, 0.827, 0.000], [0.673, 0.173, 0.000], [0.827, 0.673, 0.000], [0.133, 0.633, 0.000], [0.367, 0.133, 0.000], [0.633, 0.867, 0.000], [0.867, 0.367, 0.000], [0.000, 0.500, 0.500], [0.057, 0.790, 0.500], [0.210, 0.057, 0.500], [0.290, 0.557, 0.500], [0.443, 0.290, 0.500], [0.500, 0.000, 0.500], [0.557, 0.710, 0.500], [0.710, 0.443, 0.500], [0.790, 0.943, 0.500], [0.943, 0.210, 0.500]],
  "energy_ev_per_cell": -168.25,
  "spacegroup": "P4/mbm, No. 127",
  "magnetic_moment_mub_per_atom": 0.0000,
  "rho_g_cm3": 11.17,
  "formation_enthalpy_0k_ev_per_atom": -0.316
}

***

Entry 7:
{
  "formula": "NaU2S3",
  "functional": "PBE",
  "state": "relaxed",
  "lattice_angstrom": [[3.580, 0.000, 0.000], [0.000, 10.093, 0.000], [0.000, 0.000, 7.332]],
  "species": ["Na", "Na", "U", "U", "U", "U", "S", "S", "S", "S", "S", "S"],
  "fractional_positions": [[0.000, 0.125, 0.000], [0.000, 0.875, 0.500], [0.000, 0.272, 0.526], [0.000, 0.728, 0.026], [0.500, 0.454, 0.545], [0.500, 0.546, 0.045], [0.000, 0.397, 0.849], [0.000, 0.603, 0.349], [0.500, 0.087, 0.616], [0.500, 0.299, 0.231], [0.500, 0.701, 0.731], [0.500, 0.913, 0.116]],
  "energy_ev_per_cell": -85.72,
  "spacegroup": "Pmc2_1, No. 26",
  "magnetic_moment_mub_per_atom": 0.0001,
  "rho_g_cm3": 7.46
}

***

Entry 8:
{
  "formula": "RbS2ClO",
  "functional": "PBE",
  "state": "relaxed",
  "lattice_angstrom": [[7.034, 0.000, 0.000], [0.000, 7.034, 0.000], [0.000, 0.000, 6.180]],
  "species": ["Rb", "S", "S", "Cl", "O"],
  "fractional_positions": [[0.000, 0.000, 0.000], [0.000, 0.500, 0.000], [0.500, 0.000, 0.000], [0.000, 0.000, 0.500], [0.500, 0.500, 0.500]],
  "energy_ev_per_cell": -10.34,
  "spacegroup": "P4/mmm, No. 123",
  "magnetic_moment_mub_per_atom": 1.2059,
  "rho_g_cm3": 1.09,
  "e_above_lowest_polymorph_ev_per_atom": 1.180
}